No. 1
DFT (GGA-PBE) results for YPaAu2O8 after structural relaxation.

Results
The total energy is -6.6531 eV per atom. As for the total moment: 1.01 μB per cell. The calculation puts the volume at 362.9 Å³ per cell.

Cell: 7.1364 7.1364 7.1258 Å, 90.00 90.00 90.00°
With the nearest neighbours (Å) after each atom.
Space group I-4m2 (No. 119)
Inequivalent atoms, fractional coordinates:
Y (0.0000, 0.0000, 0.0000) [2 per cell]  8 O 2.34-2.36
Pa (0.0000, 0.5000, 0.7500) [2 per cell]  8 O 2.26-2.32
Au (0.0000, 0.0000, 0.5000) [2 per cell]  4 O 2.07
Au (0.0000, 0.5000, 0.2500) [2 per cell]  4 O 2.02
O (0.0000, 0.1848, 0.7245) [8 per cell]  1 Au 2.07, 1 Pa 2.26
O (0.0000, 0.3270, 0.0259) [8 per cell]  1 Au 2.02


No. 2
DFT (GGA-PBE) results for PaZnAu2O6 after structural relaxation.

Results
The total energy is -6.0711 eV per atom. As for the total moment: 0.00 μB per cell. The calculation puts the volume at 538.6 Å³ per cell.

Cell: 12.9591 7.7169 5.8918 Å, 90.00 113.93 90.00°
With the nearest neighbours (Å) after each atom.
Space group C2/c (No. 15)
Inequivalent atoms, fractional coordinates:
Pa (0.0000, 0.1597, 0.2500) [4 per cell]  8 O 2.26-2.47
Zn (0.0000, 0.4172, 0.7500) [4 per cell]  2 O 1.93
Au (0.2401, 0.4618, 0.7261) [8 per cell]  4 O 2.02-2.20
O (0.0754, 0.3792, 0.5307) [8 per cell]  1 Zn 1.93, 1 Au 2.07
O (0.0962, 0.0369, 0.6251) [8 per cell]  1 Au 2.02, 1 Pa 2.26
O (0.1635, 0.2794, 0.1894) [8 per cell]  2 Au 2.18-2.20


No. 3
DFT (GGA-PBE) results for PaZnAuO6 after structural relaxation.

Results
The total energy is -6.4402 eV per atom. As for the total moment: 0.00 μB per cell. The calculation puts the volume at 115.1 Å³ per cell.

Cell: 5.2881 5.2881 4.7536 Å, 90.00 90.00 120.00°
With the nearest neighbours (Å) after each atom.
Space group P312 (No. 149)
Inequivalent atoms, fractional coordinates:
Pa (0.0000, 0.0000, 0.0000) [1 per cell]  6 O 2.20
Zn (0.3333, 0.6667, 0.5000) [1 per cell]  6 O 2.11
Au (0.6667, 0.3333, 0.5000) [1 per cell]  6 O 2.04
O (0.3469, 0.0107, 0.7369) [6 per cell]  1 Au 2.04, 1 Zn 2.11, 1 Pa 2.20


No. 4
DFT (GGA-PBE) results for PbAuO3 after structural relaxation.

Results
The total energy is -4.1606 eV per atom. As for the total moment: 1.01 μB per cell. The calculation puts the volume at 74.6 Å³ per cell.

Cell: 4.2102 4.2102 4.2102 Å, 90.00 90.00 90.00°
With the nearest neighbours (Å) after each atom.
Space group Pm-3m (No. 221)
Inequivalent atoms, fractional coordinates:
Pb (0.0000, 0.0000, 0.0000) [1 per cell]  6 O 2.11
Au (0.5000, 0.5000, 0.5000) [1 per cell]  12 O 2.98
O (0.0000, 0.0000, 0.5000) [3 per cell]  2 Pb 2.11